Record 1
Computed, not measured: crystalline MgTl2GaCo at its relaxed geometry at the PBE level of DFT.

Calculated values
**Symmetry**: P4/mmm, No. 123
**ΔE_f**: 4.87 eV/f.u.

Unit cell a=5.420 b=5.033 c=5.420 alpha=90.00 beta=90.00 gamma=90.00
Site moments in Bohr magnetons follow the coordinates.
Element x y z (fractional)
Mg: 0.000 0.000 0.000  0.00
Tl: 0.500 0.000 0.000  -0.01
Tl: 0.000 0.000 0.500  0.00
Ga: 0.000 0.500 0.000  -0.01
Co: 0.500 0.500 0.500  2.13

---

Record 2
Computed, not measured: crystalline TmMgGaCo at its relaxed geometry at the PBE level of DFT.

Calculated values
**Symmetry**: F-43m, No. 216
**ΔE_f**: -0.77 eV/f.u.

Unit cell a=4.673 b=4.673 c=4.673 alpha=60.00 beta=60.00 gamma=60.00
Site moments in Bohr magnetons follow the coordinates.
Element x y z (fractional)
Co: 0.750 0.750 0.750  1.08
Mg: 0.500 0.500 0.500  0.00
Tm: 0.000 0.000 0.000  -0.10
Ga: 0.250 0.250 0.250  0.01

---

Record 3
Computed, not measured: crystalline Mg2GaCoW at its relaxed geometry at the PBE level of DFT.

Calculated values
**Symmetry**: P4/mmm, No. 123
**ΔE_f**: 3.47 eV/f.u.

Unit cell a=4.655 b=4.482 c=4.655 alpha=90.00 beta=90.00 gamma=90.00
Site moments in Bohr magnetons follow the coordinates.
Element x y z (fractional)
Ga: 0.500 0.500 0.500  -0.02
W: 0.000 0.500 0.000  0.45
Mg: 0.500 0.000 0.000  0.00
Mg: 0.000 0.000 0.500  0.00
Co: 0.000 0.000 0.000  -0.01

---

Record 4
Computed, not measured: crystalline MgZrGaCo at its relaxed geometry at the PBE level of DFT.

Calculated values
**Symmetry**: F-43m, No. 216
**ΔE_f**: -1.01 eV/f.u.

Unit cell a=4.528 b=4.528 c=4.528 alpha=60.00 beta=60.00 gamma=60.00
Site moments in Bohr magnetons follow the coordinates.
Element x y z (fractional)
Mg: 0.500 0.500 0.500  0.00
Zr: 0.000 0.000 0.000  -0.07
Co: 0.750 0.750 0.750  0.37
Ga: 0.250 0.250 0.250  0.00

---

What VASP energy values result from the calculations? In sequence: -2.3184; -4.2422; -4.5616; -5.3224 eV/atom.
What volume values result from the calculations? In sequence: 148; 72; 97; 66 Å³ per cell.